# 1
This record from Alexandria via LeMat-Bulk describes AlIn2GaPd at its PBEsol-relaxed geometry. The functional is SCAN.

## Properties
The value obtained for the volume is 24.428 Å³ per atom. For the calculated density, the calculation gives 5.9 Mg/m³.

abc: 5.1058 5.1058 4.6851
angles: 90.00 90.00 90.00
Last column: nearest neighbours and their distance in Å.
Space group P4/mmm (No. 123)
Symmetry-distinct sites (fractional):
Al: 0.0000 0.0000 0.0000 (multiplicity 1)  8 In 3.46, 4 Pd 3.61
In: 0.0000 0.5000 0.5000 (multiplicity 2)  2 Ga 2.55
Ga: 0.5000 0.5000 0.5000 (multiplicity 1)  2 Pd 2.34, 4 In 2.55
Pd: 0.5000 0.5000 0.0000 (multiplicity 1)  2 Ga 2.34

# 2
This record from Alexandria via LeMat-Bulk describes Li2TcPt at its PBEsol-relaxed geometry. The functional is SCAN.

## Properties
The value obtained for the volume is 13.757 Å³ per atom. For the calculated density, the calculation gives 9.3 Mg/m³.

abc: 6.6756 6.6756 4.9393
angles: 90.00 90.00 90.00
Last column: nearest neighbours and their distance in Å.
Space group I-42d (No. 122)
Symmetry-distinct sites (fractional):
Li: 0.2399 0.2500 0.1250 (multiplicity 8)  2 Pt 2.39, 2 Li 2.47, 2 Tc 2.49
Tc: 0.0000 0.0000 0.5000 (multiplicity 4)  2 Pt 2.47, 4 Li 2.49
Pt: 0.0000 0.0000 0.0000 (multiplicity 4)  4 Li 2.39, 2 Tc 2.47

Number 1: raw total energy -24.276 eV/atom. Number 2: raw total energy -27.107 eV/atom.